# PmCdGa2 PBE-GGA relaxed
# **Raw total energy**: -13.0 eV per formula unit
# **Energy relative to the lowest polymorph listed for this composition**: 0.52 eV per formula unit
# **Theoretical density**: 7.4 g cm⁻³
# **Calculated volume**: 22.2 A^3/atom
# **ΔE_f**: -0.309 eV per atom
data_PmCdGa2
_chemical_formula_sum 'Pm4 Cd4 Ga8'
_symmetry_space_group_name_H-M 'F m -3 m'
_symmetry_Int_Tables_number 225
_symmetry_space_group_name_Hall '-F 4 2 3'
_cell_length_a 7.080
_cell_length_b 7.080
_cell_length_c 7.080
_cell_angle_alpha 90.00
_cell_angle_beta 90.00
_cell_angle_gamma 90.00
loop_
_atom_site_label
_atom_site_fract_x
_atom_site_fract_y
_atom_site_fract_z
Pm1 0.000 0.000 0.000
Cd1 0.000 0.000 0.500
Ga1 0.250 0.250 0.250